--- w ---
ZrTiRe | PBE-GGA | optimized geometry

ρ ... 10.0 g cm⁻³
Space-group type ... No. 74
Magnetization ... 0.00 μB/cell
Crystal system ... orthorhombic
Volume ... 18.0 Å³/atom

Unit cell a=5.1993 b=5.5306 c=7.5247 alpha=90.00 beta=90.00 gamma=90.00
Fractional positions:
1 Zr 0.0000 0.2500 0.1225
2 Zr 0.0000 0.7500 0.8775
3 Zr 0.5000 0.2500 0.3775
4 Zr 0.5000 0.7500 0.6225
5 Ti 0.0000 0.0000 0.5000
6 Ti 0.0000 0.5000 0.5000
7 Ti 0.5000 0.0000 0.0000
8 Ti 0.5000 0.5000 0.0000
9 Re 0.2500 0.2500 0.7500
10 Re 0.2500 0.7500 0.2500
11 Re 0.7500 0.2500 0.7500
12 Re 0.7500 0.7500 0.2500


--- x ---
ZrTiRe | PBE-GGA | optimized geometry

ρ ... 9.4 g cm⁻³
Space-group type ... No. 69
Magnetization ... 0.00 μB/cell
Crystal system ... orthorhombic
Volume ... 19.2 Å³/atom

Unit cell a=6.2907 b=5.4671 c=5.1643 alpha=72.49 beta=55.98 gamma=51.53
Fractional positions:
1 Zr 0.1803 0.8197 0.1803
2 Zr 0.8197 0.1803 0.8197
3 Ti 0.3246 0.3246 0.6754
4 Ti 0.6754 0.6754 0.3246
5 Re 0.2500 0.2500 0.2500
6 Re 0.7500 0.7500 0.7500


Relative calculated energies, zero for the most stable structure, unit meV per atom: w 0; x 295.